Compound: SiN
Source: Alexandria via LeMat-Bulk
Functional: PBE-GGA
Structure: relaxed

Cell lengths 5.3215, 5.3215, 5.3215 Å; angles 90.00, 90.00, 90.00 degrees
With the nearest neighbours (Å) after each atom.
Element x y z (fractional)
Si: 0.0000 0.2500 0.5000  4 N 1.88
Si: 0.0000 0.7500 0.5000  4 N 1.88
Si: 0.2500 0.5000 0.0000  4 N 1.88
Si: 0.5000 0.0000 0.2500  4 N 1.88
Si: 0.5000 0.0000 0.7500  4 N 1.88
Si: 0.7500 0.5000 0.0000  4 N 1.88
N: 0.0000 0.5000 0.2500  4 Si 1.88
N: 0.0000 0.5000 0.7500  4 Si 1.88
N: 0.2500 0.0000 0.5000  4 Si 1.88
N: 0.5000 0.2500 0.0000  4 Si 1.88
N: 0.5000 0.7500 0.0000  4 Si 1.88
N: 0.7500 0.0000 0.5000  4 Si 1.88

Values from the calculation:
* formation energy without anion corrections: 0.245 eV/atom
* space-group type: Pm-3n
* D(E_F): 6.5 states/eV per cell